This record from the Alexandria database describes KLa4As after structural relaxation. The functional is PBE.

Lattice parameters (Å, degrees): 9.4561 9.4561 9.4561 90.00 90.00 90.00
Space group F-43m (No. 216)
Inequivalent atoms, fractional coordinates:
K: 0.0000 0.0000 0.0000 x4
La: 0.1204 0.1204 0.6204 x16
As: 0.2500 0.2500 0.2500 x4

Calculated values
- DOS at the Fermi energy: 39.0 states/eV/cell
- Raw total energy: -94.025 eV for the cell shown
- Calculated formation energy: 325 meV/atom


This record from the Alexandria database describes KTmPN3 after structural relaxation. The functional is PBE.

Lattice parameters (Å, degrees): 12.1652 3.7409 7.7682 90.00 106.21 90.00
Space group C2/m (No. 12)
Inequivalent atoms, fractional coordinates:
K: 0.1463 0.0000 0.0595 x4
Tm: 0.1488 0.0000 0.5707 x4
P: 0.0103 0.5000 0.2670 x4
N: 0.0088 0.0000 0.2973 x4
N: 0.1296 0.5000 0.7493 x4
N: 0.1526 0.5000 0.3666 x4

Calculated values
- DOS at the Fermi energy: 9.7 states/eV/cell
- Formation energy from raw total energies: -446 meV per atom
- Raw total energy: -154.533 eV for the cell shown